NaZn2Pt3: optimized geometry, GGA-PBE.

a = 4.1003 Å, b = 5.5176 Å, c = 5.5171 Å
α = 120.00°, β = 90.00°, γ = 90.00°
Closest atoms and distances in Å follow each position.
Fractional coordinates of all 6 atoms:
1 Na 0.0000 0.0012 0.0000  6 Zn 3.18-3.19, 12 Pt 3.44
2 Zn 0.0000 0.3345 0.6666  6 Pt 2.60
3 Zn 0.0000 0.6680 0.3334  6 Pt 2.60
4 Pt 0.5000 0.0012 0.5000  4 Zn 2.60, 4 Pt 2.76
5 Pt 0.5000 0.5013 0.5000  4 Zn 2.60, 4 Pt 2.76
6 Pt 0.5000 0.5013 0.0000  4 Zn 2.60, 4 Pt 2.76

Results
ΔH_f (0 K) in meV/atom: -437.0
Total moment in μB per atom: 0.000
Final energy in eV per atom: -4.102


SmCuBiRh: optimized geometry, GGA-PBE.

a = 4.8700 Å, b = 4.8700 Å, c = 4.8700 Å
α = 60.00°, β = 60.00°, γ = 60.00°
Closest atoms and distances in Å follow each position.
Fractional coordinates of all 4 atoms:
1 Cu 0.2500 0.2500 0.2500  4 Sm 2.98, 4 Bi 2.98
2 Rh 0.7500 0.7500 0.7500  4 Bi 2.98, 4 Sm 2.98
3 Bi 0.5000 0.5000 0.5000  4 Cu 2.98, 4 Rh 2.98
4 Sm 0.0000 0.0000 0.0000  4 Cu 2.98, 4 Rh 2.98

Results
ΔH_f (0 K) in meV/atom: -369.1
Total moment in μB per atom: 0.000
Final energy in eV per atom: -5.381


PmPrSnRh: optimized geometry, GGA-PBE.

a = 4.4517 Å, b = 4.2926 Å, c = 6.0272 Å
α = 90.00°, β = 111.67°, γ = 90.00°
Closest atoms and distances in Å follow each position.
Fractional coordinates of all 4 atoms:
1 Pm 0.8630 0.5000 0.7260  4 Rh 3.14, 3 Sn 3.22-3.28
2 Pr 0.1554 0.0000 0.3107  1 Rh 2.86
3 Sn 0.5706 0.5000 0.1411  2 Rh 2.79
4 Rh 0.4110 0.0000 0.8221  2 Sn 2.79, 1 Pr 2.86

Results
ΔH_f (0 K) in meV/atom: -685.0
Energy relative to the lowest polymorph listed for this composition in meV per atom: 0
Total moment in μB per atom: 0.000
Final energy in eV per atom: -5.906


DyRe3N8: optimized geometry, GGA-PBE.

a = 5.7402 Å, b = 5.7402 Å, c = 6.2618 Å
α = 90.00°, β = 90.00°, γ = 120.00°
Closest atoms and distances in Å follow each position.
Fractional coordinates of all 12 atoms:
1 Dy 0.0000 0.0000 0.5000  6 N 2.47
2 Re 0.6667 0.3333 0.7188  4 N 1.74-1.85
3 Re 0.3333 0.6667 0.2812  4 N 1.74-1.85
4 Re 0.0000 0.0000 0.0000  6 N 1.96
5 N 0.6884 0.8443 0.1930  2 Re 1.85-1.96
6 N 0.1559 0.3116 0.1930  2 Re 1.85-1.96
7 N 0.1557 0.8441 0.1930  2 Re 1.85-1.96
8 N 0.3116 0.1557 0.8070  2 Re 1.85-1.96
9 N 0.8441 0.6884 0.8070  2 Re 1.85-1.96
10 N 0.8443 0.1559 0.8070  2 Re 1.85-1.96
11 N 0.6667 0.3333 0.4402  1 Re 1.74
12 N 0.3333 0.6667 0.5598  1 Re 1.74

Results
Total moment in μB per atom: 0.000
Final energy in eV per atom: -9.002


TcHg2Rh: optimized geometry, GGA-PBE.

a = 2.9014 Å, b = 5.2112 Å, c = 5.7603 Å
α = 53.66°, β = 90.00°, γ = 90.00°
Closest atoms and distances in Å follow each position.
Fractional coordinates of all 4 atoms:
1 Hg 0.0000 0.0000 0.0000  4 Rh 2.88, 2 Tc 2.88, 6 Hg 2.90-2.98
2 Hg 0.5000 0.5000 0.0000  4 Tc 2.88, 2 Rh 2.88, 6 Hg 2.90-2.98
3 Rh 0.5000 0.5000 0.5000  6 Hg 2.88, 2 Rh 2.90, 4 Tc 2.98
4 Tc 0.0000 0.0000 0.5000  6 Hg 2.88, 2 Tc 2.90, 4 Rh 2.98

Results
ΔH_f (0 K) in meV/atom: 512.7
Energy relative to the lowest polymorph listed for this composition in meV per atom: 327
Total moment in μB per atom: 0.203
Final energy in eV per atom: -4.068


NaEuSi4: optimized geometry, GGA-PBE.

a = 5.3408 Å, b = 5.3408 Å, c = 5.3408 Å
α = 60.00°, β = 60.00°, γ = 60.00°
Closest atoms and distances in Å follow each position.
Fractional coordinates of all 6 atoms:
1 Eu 0.2500 0.2500 0.2500  12 Si 3.13, 4 Na 3.27
2 Na 0.0000 0.0000 0.0000  12 Si 3.13, 4 Eu 3.27
3 Si 0.6262 0.6262 0.1213  6 Si 2.64-2.70
4 Si 0.6262 0.1213 0.6262  6 Si 2.64-2.70
5 Si 0.6262 0.6262 0.6262  6 Si 2.64-2.70
6 Si 0.1213 0.6262 0.6262  6 Si 2.64-2.70

Results
Total moment in μB per atom: 1.097
Final energy in eV per atom: -5.664


GeTeSeN2: optimized geometry, GGA-PBE.

a = 4.0215 Å, b = 4.0215 Å, c = 5.7442 Å
α = 90.00°, β = 90.00°, γ = 90.00°
Closest atoms and distances in Å follow each position.
Fractional coordinates of all 5 atoms:
1 Ge 0.5000 0.5000 0.5000  4 Se 2.84
2 Te 0.0000 0.0000 0.0000  4 N 2.01
3 Se 0.0000 0.0000 0.5000  4 Ge 2.84, 2 Te 2.87
4 N 0.0000 0.5000 0.0000  2 Te 2.01
5 N 0.5000 0.0000 0.0000  2 Te 2.01

Results
Energy relative to the lowest polymorph listed for this composition in meV per atom: 80
Total moment in μB per atom: 0.000
Final energy in eV per atom: -4.299


LiMgSc2: optimized geometry, GGA-PBE.

a = 3.0617 Å, b = 3.0617 Å, c = 10.2902 Å
α = 90.00°, β = 90.00°, γ = 107.94°
Closest atoms and distances in Å follow each position.
Fractional coordinates of all 4 atoms:
1 Li 0.5000 0.5000 0.2500  4 Li 3.06, 4 Sc 3.12
2 Mg 0.5000 0.5000 0.7500  4 Mg 3.06, 4 Sc 3.16
3 Sc 0.0000 0.0000 0.0024  4 Sc 3.06, 2 Li 3.12, 2 Mg 3.16
4 Sc 0.0000 0.0000 0.4976  4 Sc 3.06, 2 Li 3.12, 2 Mg 3.16

Results
ΔH_f (0 K) in meV/atom: 126.2
Total moment in μB per atom: 0.000
Final energy in eV per atom: -3.917


LiAc2Zn4Cd3: optimized geometry, GGA-PBE.

a = 4.6899 Å, b = 4.6899 Å, c = 10.8641 Å
α = 90.00°, β = 90.00°, γ = 90.00°
Closest atoms and distances in Å follow each position.
Fractional coordinates of all 10 atoms:
1 Li 0.5000 0.5000 0.5000  4 Zn 2.72
2 Ac 0.5000 0.0000 0.2421  8 Zn 3.52-3.61, 6 Cd 3.53-3.65, 2 Li 3.65
3 Ac 0.0000 0.5000 0.7579  8 Zn 3.52-3.61, 6 Cd 3.53-3.65, 2 Li 3.65
4 Zn 0.5000 0.5000 0.0000  4 Cd 2.74
5 Zn 0.0000 0.0000 0.0000  4 Cd 2.74
6 Zn 0.5000 0.0000 0.6263  3 Cd 2.65-2.72, 2 Li 2.72
7 Zn 0.0000 0.5000 0.3737  3 Cd 2.65-2.72, 2 Li 2.72
8 Cd 0.0000 0.0000 0.5000  4 Zn 2.72
9 Cd 0.5000 0.0000 0.8701  5 Zn 2.65-2.74
10 Cd 0.0000 0.5000 0.1299  5 Zn 2.65-2.74

Results
ΔH_f (0 K) in meV/atom: -220.1
Total moment in μB per atom: 0.009
Final energy in eV per atom: -2.017


BaRu3: optimized geometry, GGA-PBE.

a = 10.0928 Å, b = 10.0928 Å, c = 10.0928 Å
α = 16.71°, β = 16.71°, γ = 16.71°
Closest atoms and distances in Å follow each position.
Fractional coordinates of all 4 atoms:
1 Ba 0.0000 0.0000 0.0000  6 Ba 2.93
2 Ru 0.7653 0.7653 0.7653  9 Ru 2.65-2.93
3 Ru 0.5000 0.5000 0.5000  12 Ru 2.65-2.93
4 Ru 0.2347 0.2347 0.2347  9 Ru 2.65-2.93

Results
ΔH_f (0 K) in meV/atom: 997.3
Total moment in μB per atom: 0.000
Final energy in eV per atom: -6.440


Ac2Zn2In: optimized geometry, GGA-PBE.

a = 4.8719 Å, b = 6.3001 Å, c = 10.5268 Å
α = 83.73°, β = 76.62°, γ = 67.25°
Closest atoms and distances in Å follow each position.
Fractional coordinates of all 10 atoms:
1 Ac 0.3075 0.2815 0.1036  6 Zn 3.38-3.50, 2 In 3.64
2 Ac 0.5127 0.3052 0.6695  7 Zn 3.35-3.67, 4 In 3.40-3.51
3 Ac 0.6925 0.7185 0.8964  6 Zn 3.38-3.50, 2 In 3.64
4 Ac 0.4873 0.6948 0.3305  7 Zn 3.35-3.67, 4 In 3.40-3.51
5 Zn 0.9863 0.1359 0.8914  1 Zn 2.70, 1 In 2.86
6 Zn 0.1332 0.2879 0.4456  1 Zn 2.73, 3 In 2.85-3.05
7 Zn 0.0137 0.8641 0.1086  1 Zn 2.70, 1 In 2.86
8 Zn 0.8668 0.7121 0.5544  1 Zn 2.73, 3 In 2.85-3.05
9 In 0.7743 0.1018 0.3496  4 Zn 2.85-3.05
10 In 0.2257 0.8982 0.6504  4 Zn 2.85-3.05

Results
ΔH_f (0 K) in meV/atom: -323.7
Energy relative to the lowest polymorph listed for this composition in meV per atom: 7
Total moment in μB per atom: 0.000
Final energy in eV per atom: -3.024


ZrH2Rh2: optimized geometry, GGA-PBE.

a = 3.5814 Å, b = 3.5814 Å, c = 5.2101 Å
α = 90.00°, β = 90.00°, γ = 90.00°
Closest atoms and distances in Å follow each position.
Fractional coordinates of all 5 atoms:
1 H 0.0000 0.5000 0.0000  2 Rh 1.79
2 H 0.5000 0.0000 0.0000  2 Rh 1.79
3 Rh 0.0000 0.0000 0.0000  4 H 1.79
4 Rh 0.0000 0.0000 0.5000  4 Zr 2.53, 2 Rh 2.61
5 Zr 0.5000 0.5000 0.5000  4 Rh 2.53

Results
Energy relative to the lowest polymorph listed for this composition in meV per atom: 467
Total moment in μB per atom: 0.000
Final energy in eV per atom: -5.916


TbYMnCd: optimized geometry, GGA-PBE.

a = 5.1815 Å, b = 5.1815 Å, c = 5.1815 Å
α = 60.00°, β = 60.00°, γ = 60.00°
Closest atoms and distances in Å follow each position.
Fractional coordinates of all 4 atoms:
1 Y 0.2500 0.2500 0.2500  4 Cd 3.17, 4 Mn 3.17
2 Mn 0.0000 0.0000 0.0000  4 Tb 3.17, 4 Y 3.17
3 Tb 0.7500 0.7500 0.7500  4 Mn 3.17, 4 Cd 3.17
4 Cd 0.5000 0.5000 0.5000  4 Tb 3.17, 4 Y 3.17

Results
ΔH_f (0 K) in meV/atom: -18.5
Total moment in μB per atom: 0.788
Final energy in eV per atom: -5.313


Sr3TaI: optimized geometry, GGA-PBE.

a = 5.9951 Å, b = 5.9951 Å, c = 5.9951 Å
α = 90.00°, β = 90.00°, γ = 90.00°
Closest atoms and distances in Å follow each position.
Fractional coordinates of all 5 atoms:
1 I 0.5000 0.5000 0.5000  12 Sr 4.24
2 Sr 0.0000 0.5000 0.0000  2 Ta 3.00
3 Sr 0.0000 0.0000 0.5000  2 Ta 3.00
4 Sr 0.5000 0.0000 0.0000  2 Ta 3.00
5 Ta 0.0000 0.0000 0.0000  6 Sr 3.00

Results
Energy relative to the lowest polymorph listed for this composition in meV per atom: 0
Total moment in μB per atom: 0.000
Final energy in eV per atom: -3.043


PmMg2ZnAg4: optimized geometry, GGA-PBE.

a = 4.6707 Å, b = 4.6707 Å, c = 9.0410 Å
α = 75.03°, β = 75.03°, γ = 60.00°
Closest atoms and distances in Å follow each position.
Fractional coordinates of all 8 atoms:
1 Pm 0.0000 0.0000 0.0000  8 Ag 3.16-3.36
2 Mg 0.7579 0.7579 0.7262  7 Ag 2.79-2.91
3 Mg 0.2421 0.2421 0.2738  7 Ag 2.79-2.91
4 Zn 0.5000 0.5000 0.5000  8 Ag 2.66-2.86
5 Ag 0.3971 0.3971 0.8088  1 Zn 2.66, 3 Mg 2.79
6 Ag 0.8704 0.8704 0.3889  3 Zn 2.86, 4 Mg 2.87-2.91, 3 Ag 3.19
7 Ag 0.1296 0.1296 0.6111  3 Zn 2.86, 4 Mg 2.87-2.91, 3 Ag 3.19
8 Ag 0.6029 0.6029 0.1912  1 Zn 2.66, 3 Mg 2.79

Results
ΔH_f (0 K) in meV/atom: -177.3
Total moment in μB per atom: 0.000
Final energy in eV per atom: -2.755


KNaCaPb: optimized geometry, GGA-PBE.

a = 5.6896 Å, b = 5.6896 Å, c = 5.6896 Å
α = 60.00°, β = 60.00°, γ = 60.00°
Closest atoms and distances in Å follow each position.
Fractional coordinates of all 4 atoms:
1 Pb 0.2500 0.2500 0.2500  4 Na 3.48, 4 Ca 3.48
2 Na 0.0000 0.0000 0.0000  4 Pb 3.48, 4 K 3.48
3 Ca 0.5000 0.5000 0.5000  4 Pb 3.48, 4 K 3.48
4 K 0.7500 0.7500 0.7500  4 Ca 3.48, 4 Na 3.48

Results
ΔH_f (0 K) in meV/atom: -210.3
Total moment in μB per atom: 0.000
Final energy in eV per atom: -2.242


CuTc: optimized geometry, GGA-PBE.

a = 4.0767 Å, b = 15.1530 Å, c = 7.4107 Å
α = 90.00°, β = 90.00°, γ = 90.00°
Closest atoms and distances in Å follow each position.
Fractional coordinates of all 32 atoms:
1 Cu 0.0000 0.0000 0.6642  3 Cu 2.40-2.43
2 Cu 0.0000 0.0000 0.3358  3 Cu 2.40-2.43
3 Cu 0.2500 0.7500 0.5858  3 Cu 2.40-2.43
4 Cu 0.2500 0.7500 0.9142  3 Cu 2.40-2.43
5 Cu 0.0000 0.5000 0.1642  3 Cu 2.40-2.43
6 Cu 0.0000 0.5000 0.8358  3 Cu 2.40-2.43
7 Cu 0.2500 0.2500 0.0858  3 Cu 2.40-2.43
8 Cu 0.2500 0.2500 0.4142  3 Cu 2.40-2.43
9 Cu 0.5000 0.0000 0.1642  3 Cu 2.40-2.43
10 Cu 0.5000 0.0000 0.8358  3 Cu 2.40-2.43
11 Cu 0.7500 0.7500 0.0858  3 Cu 2.40-2.43
12 Cu 0.7500 0.7500 0.4142  3 Cu 2.40-2.43
13 Cu 0.5000 0.5000 0.6642  3 Cu 2.40-2.43
14 Cu 0.5000 0.5000 0.3358  3 Cu 2.40-2.43
15 Cu 0.7500 0.2500 0.5858  3 Cu 2.40-2.43
16 Cu 0.7500 0.2500 0.9142  3 Cu 2.40-2.43
17 Tc 0.0000 0.0840 0.0000  3 Tc 2.45-2.55, 4 Cu 2.69
18 Tc 0.0000 0.9160 0.0000  3 Tc 2.45-2.55, 4 Cu 2.69
19 Tc 0.2500 0.6660 0.2500  3 Tc 2.45-2.55, 4 Cu 2.69
20 Tc 0.2500 0.8340 0.2500  3 Tc 2.45-2.55, 4 Cu 2.69
21 Tc 0.0000 0.5840 0.5000  3 Tc 2.45-2.55, 4 Cu 2.69
22 Tc 0.0000 0.4160 0.5000  3 Tc 2.45-2.55, 4 Cu 2.69
23 Tc 0.2500 0.1660 0.7500  3 Tc 2.45-2.55, 4 Cu 2.69
24 Tc 0.2500 0.3340 0.7500  3 Tc 2.45-2.55, 4 Cu 2.69
25 Tc 0.5000 0.0840 0.5000  3 Tc 2.45-2.55, 4 Cu 2.69
26 Tc 0.5000 0.9160 0.5000  3 Tc 2.45-2.55, 4 Cu 2.69
27 Tc 0.7500 0.6660 0.7500  3 Tc 2.45-2.55, 4 Cu 2.69
28 Tc 0.7500 0.8340 0.7500  3 Tc 2.45-2.55, 4 Cu 2.69
29 Tc 0.5000 0.5840 0.0000  3 Tc 2.45-2.55, 4 Cu 2.69
30 Tc 0.5000 0.4160 0.0000  3 Tc 2.45-2.55, 4 Cu 2.69
31 Tc 0.7500 0.1660 0.2500  3 Tc 2.45-2.55, 4 Cu 2.69
32 Tc 0.7500 0.3340 0.2500  3 Tc 2.45-2.55, 4 Cu 2.69

Results
ΔH_f (0 K) in meV/atom: 417.1
Energy relative to the lowest polymorph listed for this composition in meV per atom: 324
Total moment in μB per atom: 0.000
Final energy in eV per atom: -6.814


AcPm2Ag: optimized geometry, GGA-PBE.

a = 3.7996 Å, b = 3.7996 Å, c = 8.9162 Å
α = 90.00°, β = 90.00°, γ = 90.00°
Closest atoms and distances in Å follow each position.
Fractional coordinates of all 4 atoms:
1 Ac 0.5000 0.5000 0.5000  8 Pm 3.77, 4 Ac 3.80
2 Ag 0.5000 0.5000 0.0000  8 Pm 3.24
3 Pm 0.0000 0.0000 0.7974  4 Ag 3.24, 1 Pm 3.61
4 Pm 0.0000 0.0000 0.2026  4 Ag 3.24, 1 Pm 3.61

Results
ΔH_f (0 K) in meV/atom: -102.3
Energy relative to the lowest polymorph listed for this composition in meV per atom: 0
Total moment in μB per atom: 0.001
Final energy in eV per atom: -4.218


Zn2SiW: optimized geometry, GGA-PBE.

a = 7.1061 Å, b = 7.1061 Å, c = 5.6010 Å
α = 50.63°, β = 50.63°, γ = 90.00°
Closest atoms and distances in Å follow each position.
Fractional coordinates of all 8 atoms:
1 Zn 0.6039 0.1250 0.2500  2 Si 2.49, 2 Zn 2.49, 2 W 2.69
2 Zn 0.1461 0.6250 0.2500  2 Si 2.49, 2 Zn 2.49, 2 W 2.69
3 Zn 0.3750 0.3961 0.7500  2 Si 2.49, 2 Zn 2.49, 2 W 2.69
4 Zn 0.8750 0.8539 0.7500  2 Si 2.49, 2 Zn 2.49, 2 W 2.69
5 Si 0.5000 0.5000 0.0000  2 W 2.47, 4 Zn 2.49
6 Si 0.2500 0.7500 0.5000  2 W 2.47, 4 Zn 2.49
7 W 0.0000 0.0000 0.0000  2 Si 2.47, 4 Zn 2.69
8 W 0.7500 0.2500 0.5000  2 Si 2.47, 4 Zn 2.69

Results
Total moment in μB per atom: 0.000
Final energy in eV per atom: -4.706


GeTe2RuI: optimized geometry, GGA-PBE.

a = 5.1564 Å, b = 5.1564 Å, c = 5.5129 Å
α = 90.00°, β = 90.00°, γ = 90.00°
Closest atoms and distances in Å follow each position.
Fractional coordinates of all 5 atoms:
1 I 0.0000 0.0000 0.5000  2 Ru 2.76
2 Ru 0.0000 0.0000 0.0000  4 Te 2.58, 2 I 2.76
3 Ge 0.5000 0.5000 0.5000  4 I 3.65, 8 Te 3.77
4 Te 0.0000 0.5000 0.0000  2 Ru 2.58
5 Te 0.5000 0.0000 0.0000  2 Ru 2.58

Results
Energy relative to the lowest polymorph listed for this composition in meV per atom: 0
Total moment in μB per atom: 0.000
Final energy in eV per atom: -3.778